{
  "formula": "Pr3Se2O2",
  "functional": "PBE",
  "state": "relaxed",
  "lattice_angstrom": [[0.698, -3.388, 2.031], [-0.192, -5.787, -5.626], [10.118, -1.421, -1.885]],
  "species": ["Pr", "Pr", "Pr", "Pr", "Pr", "Pr", "O", "O", "O", "O", "Se", "Se", "Se", "Se"],
  "fractional_positions": [[0.095, 0.979, 0.832], [0.867, 0.484, 0.783], [0.133, 0.516, 0.217], [0.905, 0.021, 0.168], [0.402, 0.739, 0.457], [0.598, 0.261, 0.543], [0.044, 0.236, 0.676], [0.579, 0.488, 0.354], [0.421, 0.512, 0.646], [0.956, 0.764, 0.324], [0.743, 0.863, 0.650], [0.395, 0.242, 0.969], [0.605, 0.758, 0.031], [0.257, 0.137, 0.350]],
  "dft_energy_ev_per_fu": -49.17,
  "volume_a3_per_cell": 315.6,
  "total_magnetization_mub_per_fu": 0.6,
  "formation_energy_uncorrected_ev_per_atom": -2.563,
  "polymorph_energy_ev_per_atom": 0.000
}